A.
# Th2Zn3Ni2 (PBE, relaxed)
# - total magnetic moment (μB/atom) = 0.0000
# - volume (Å³ per atom) = 18.7
# - N(E_F) (states/eV per cell) = 9.082
data_Th2Zn3Ni2
_chemical_formula_sum 'Th4 Zn6 Ni4'
_cell_length_a 9.770
_cell_length_b 4.175
_cell_length_c 7.018
_cell_angle_alpha 90.00
_cell_angle_beta 113.81
_cell_angle_gamma 90.00
_symmetry_space_group_name_H-M 'C 1 2/m 1'
_symmetry_Int_Tables_number 12
_symmetry_space_group_name_Hall '-C 2y'
loop_
_atom_site_label
_atom_site_fract_x
_atom_site_fract_y
_atom_site_fract_z
Th1 0.142 0.000 0.276
Zn1 0.000 0.500 0.500
Zn2 0.134 0.500 0.935
Ni1 0.140 0.000 0.703

=====

B.
# Th2Zn3Ni2 (PBE, relaxed)
# - total magnetic moment (μB/atom) = 0.0000
# - volume (Å³ per atom) = 19.4
# - N(E_F) (states/eV per cell) = 6.136
data_Th2Zn3Ni2
_chemical_formula_sum 'Th4 Zn6 Ni4'
_cell_length_a 9.573
_cell_length_b 4.113
_cell_length_c 6.894
_cell_angle_alpha 90.00
_cell_angle_beta 92.00
_cell_angle_gamma 90.00
_symmetry_space_group_name_H-M 'C 1 2/m 1'
_symmetry_Int_Tables_number 12
_symmetry_space_group_name_Hall '-C 2y'
loop_
_atom_site_label
_atom_site_fract_x
_atom_site_fract_y
_atom_site_fract_z
Th1 0.145 0.000 0.173
Zn1 0.000 0.500 0.500
Zn2 0.146 0.000 0.643
Ni1 0.073 0.500 0.856

=====

Ranked by calculated energy, most stable first: A, B.

=====

A.
# ThZn4Ni2 (PBE, relaxed)
# - total magnetic moment (μB/atom) = 0.0000
# - volume (Å³ per atom) = 16.0
# - N(E_F) (states/eV per cell) = 4.222
data_ThZn4Ni2
_chemical_formula_sum 'Th2 Zn8 Ni4'
_cell_length_a 7.502
_cell_length_b 7.502
_cell_length_c 3.971
_cell_angle_alpha 90.00
_cell_angle_beta 90.00
_cell_angle_gamma 90.00
_symmetry_space_group_name_H-M 'P 42/m n m'
_symmetry_Int_Tables_number 136
_symmetry_space_group_name_Hall '-P 4n 2n'
loop_
_atom_site_label
_atom_site_fract_x
_atom_site_fract_y
_atom_site_fract_z
Th1 0.000 0.000 0.000
Zn1 0.090 0.344 0.500
Ni1 0.214 0.786 0.500

=====

B.
# ThZn4Ni2 (PBE, relaxed)
# - total magnetic moment (μB/atom) = 0.0000
# - volume (Å³ per atom) = 16.4
# - N(E_F) (states/eV per cell) = 6.136
data_ThZn4Ni2
_chemical_formula_sum 'Th2 Zn8 Ni4'
_cell_length_a 3.968
_cell_length_b 14.709
_cell_length_c 3.926
_cell_angle_alpha 90.00
_cell_angle_beta 90.00
_cell_angle_gamma 90.00
_symmetry_space_group_name_H-M 'C m m m'
_symmetry_Int_Tables_number 65
_symmetry_space_group_name_Hall '-C 2 2'
loop_
_atom_site_label
_atom_site_fract_x
_atom_site_fract_y
_atom_site_fract_z
Th1 0.000 0.000 0.000
Zn1 0.000 0.185 0.500
Zn2 0.000 0.316 0.000
Ni1 0.000 0.419 0.500

=====

Ranked by calculated energy, most stable first: A, B.

=====

A.
# Th2Zn2Ni3 (PBE, relaxed)
# - total magnetic moment (μB/atom) = 0.0000
# - volume (Å³ per atom) = 19.2
# - N(E_F) (states/eV per cell) = 4.652
data_Th2Zn2Ni3
_chemical_formula_sum 'Th4 Zn4 Ni6'
_cell_length_a 12.851
_cell_length_b 4.147
_cell_length_c 5.076
_cell_angle_alpha 90.00
_cell_angle_beta 96.19
_cell_angle_gamma 90.00
_symmetry_space_group_name_H-M 'C 1 2/m 1'
_symmetry_Int_Tables_number 12
_symmetry_space_group_name_Hall '-C 2y'
loop_
_atom_site_label
_atom_site_fract_x
_atom_site_fract_y
_atom_site_fract_z
Th1 0.139 0.000 0.121
Zn1 0.103 0.500 0.615
Ni1 0.000 0.500 0.000
Ni2 0.236 0.000 0.637

=====

B.
# Th2Zn2Ni3 (PBE, relaxed)
# - total magnetic moment (μB/atom) = 0.0000
# - volume (Å³ per atom) = 18.2
# - N(E_F) (states/eV per cell) = 17.325
data_Th2Zn2Ni3
_chemical_formula_sum 'Th8 Zn8 Ni12'
_cell_length_a 3.900
_cell_length_b 17.894
_cell_length_c 7.295
_cell_angle_alpha 90.00
_cell_angle_beta 90.00
_cell_angle_gamma 90.00
_symmetry_space_group_name_H-M 'C m c m'
_symmetry_Int_Tables_number 63
_symmetry_space_group_name_Hall '-C 2c 2'
loop_
_atom_site_label
_atom_site_fract_x
_atom_site_fract_y
_atom_site_fract_z
Th1 0.000 0.062 0.250
Th2 0.000 0.148 0.750
Zn1 0.000 0.307 0.562
Ni1 0.000 0.232 0.250
Ni2 0.000 0.440 0.068

=====

Ranked by calculated energy, most stable first: B, A.

=====

A.
# Th2ZrNi (PBE, relaxed)
# - total magnetic moment (μB/atom) = 0.0000
# - volume (Å³ per atom) = 24.8
# - N(E_F) (states/eV per cell) = 4.247
data_Th2ZrNi
_chemical_formula_sum 'Th2 Zr1 Ni1'
_cell_length_a 3.468
_cell_length_b 3.468
_cell_length_c 8.262
_cell_angle_alpha 90.00
_cell_angle_beta 90.00
_cell_angle_gamma 90.00
_symmetry_space_group_name_H-M 'P 4/m m m'
_symmetry_Int_Tables_number 123
_symmetry_space_group_name_Hall '-P 4 2'
loop_
_atom_site_label
_atom_site_fract_x
_atom_site_fract_y
_atom_site_fract_z
Th1 0.000 0.000 0.210
Zr1 0.500 0.500 0.500
Ni1 0.500 0.500 0.000

=====

B.
# Th2ZrNi (PBE, relaxed)
# - total magnetic moment (μB/atom) = 0.1166
# - volume (Å³ per atom) = 26.0
# - N(E_F) (states/eV per cell) = 16.904
data_Th2ZrNi
_chemical_formula_sum 'Th6 Zr3 Ni3'
_cell_length_a 3.4422
_cell_length_b 3.4422
_cell_length_c 30.3861
_cell_angle_alpha 90.00
_cell_angle_beta 90.00
_cell_angle_gamma 120.00
_symmetry_space_group_name_H-M 'R -3 m'
_symmetry_Int_Tables_number 166
_symmetry_space_group_name_Hall '-R 3 2"'
loop_
_atom_site_label
_atom_site_fract_x
_atom_site_fract_y
_atom_site_fract_z
Th1 0.0000 0.0000 0.1008
Zr1 0.0000 0.0000 0.0000
Ni1 0.0000 0.0000 0.5000

=====

Ranked by calculated energy, most stable first: A, B.

=====

A.
# ThZrNi (PBE, relaxed)
# - total magnetic moment (μB/atom) = 0.0000
# - volume (Å³ per atom) = 22.0
# - N(E_F) (states/eV per cell) = 9.966
data_ThZrNi
_chemical_formula_sum 'Th2 Zr2 Ni2'
_cell_length_a 3.364
_cell_length_b 3.364
_cell_length_c 11.655
_cell_angle_alpha 90.00
_cell_angle_beta 90.00
_cell_angle_gamma 90.00
_symmetry_space_group_name_H-M 'I 4 m m'
_symmetry_Int_Tables_number 107
_symmetry_space_group_name_Hall 'I 4 -2'
loop_
_atom_site_label
_atom_site_fract_x
_atom_site_fract_y
_atom_site_fract_z
Th1 0.000 0.000 0.000
Zr1 0.000 0.000 0.290
Ni1 0.000 0.000 0.677

=====

B.
# ThZrNi (PBE, relaxed)
# - total magnetic moment (μB/atom) = 0.0000
# - volume (Å³ per atom) = 22.1
# - N(E_F) (states/eV per cell) = 21.609
data_ThZrNi
_chemical_formula_sum 'Th6 Zr6 Ni6'
_cell_length_a 13.456
_cell_length_b 3.607
_cell_length_c 8.205
_cell_angle_alpha 90.00
_cell_angle_beta 90.00
_cell_angle_gamma 90.00
_symmetry_space_group_name_H-M 'P m m a'
_symmetry_Int_Tables_number 51
_symmetry_space_group_name_Hall '-P 2a 2a'
loop_
_atom_site_label
_atom_site_fract_x
_atom_site_fract_y
_atom_site_fract_z
Th1 0.035 0.000 0.218
Th2 0.250 0.000 0.843
Zr1 0.121 0.500 0.553
Zr2 0.250 0.500 0.201
Ni1 0.096 0.500 0.953
Ni2 0.250 0.000 0.427

=====

C.
# ThZrNi (PBE, relaxed)
# - total magnetic moment (μB/atom) = 0.0000
# - volume (Å³ per atom) = 21.5
# - N(E_F) (states/eV per cell) = 56.770
data_ThZrNi
_chemical_formula_sum 'Th16 Zr16 Ni16'
_cell_length_a 5.640
_cell_length_b 9.709
_cell_length_c 18.822
_cell_angle_alpha 90.00
_cell_angle_beta 90.00
_cell_angle_gamma 90.00
_symmetry_space_group_name_H-M 'F d d d'
_symmetry_Int_Tables_number 70
loop_
_symmetry_equiv_pos_as_xyz
'x,y,z'
'-x,-y,-z'
'-x+1/4,-y+1/4,z'
'x+1/4,y+1/4,-z'
'x,-y+1/4,-z+1/4'
'-x,y+1/4,z+1/4'
'-x+1/4,y,-z+1/4'
'x+1/4,-y,z+1/4'
'x,y+1/2,z+1/2'
'-x,-y+1/2,-z+1/2'
'-x+1/4,-y+3/4,z+1/2'
'x+1/4,y+3/4,-z+1/2'
'x,-y+3/4,-z+3/4'
'-x,y+3/4,z+3/4'
'-x+1/4,y+1/2,-z+3/4'
'x+1/4,-y+1/2,z+3/4'
'x+1/2,y,z+1/2'
'-x+1/2,-y,-z+1/2'
'-x+3/4,-y+1/4,z+1/2'
'x+3/4,y+1/4,-z+1/2'
'x+1/2,-y+1/4,-z+3/4'
'-x+1/2,y+1/4,z+3/4'
'-x+3/4,y,-z+3/4'
'x+3/4,-y,z+3/4'
'x+1/2,y+1/2,z'
'-x+1/2,-y+1/2,-z'
'-x+3/4,-y+3/4,z'
'x+3/4,y+3/4,-z'
'x+1/2,-y+3/4,-z+1/4'
'-x+1/2,y+3/4,z+1/4'
'-x+3/4,y+1/2,-z+1/4'
'x+3/4,-y+1/2,z+1/4'
loop_
_atom_site_label
_atom_site_fract_x
_atom_site_fract_y
_atom_site_fract_z
Th1 0.125 0.293 0.125
Zr1 0.125 0.125 0.542
Ni1 0.125 0.125 0.001

=====

Ranked by calculated energy, most stable first: C, B, A.

=====

A.
# Ti3TlNi (PBE, relaxed)
# - total magnetic moment (μB/atom) = 0.9308
# - volume (Å³ per atom) = 26.2
# - N(E_F) (states/eV per cell) = 6.566
data_Ti3TlNi
_chemical_formula_sum 'Ti3 Tl1 Ni1'
_cell_length_a 5.082
_cell_length_b 5.082
_cell_length_c 5.082
_cell_angle_alpha 90.00
_cell_angle_beta 90.00
_cell_angle_gamma 90.00
_symmetry_space_group_name_H-M 'P m -3 m'
_symmetry_Int_Tables_number 221
_symmetry_space_group_name_Hall '-P 4 2 3'
loop_
_atom_site_label
_atom_site_fract_x
_atom_site_fract_y
_atom_site_fract_z
Ti1 0.000 0.000 0.500
Tl1 0.000 0.000 0.000
Ni1 0.500 0.500 0.500

=====

B.
# Ti3TlNi (PBE, relaxed)
# - total magnetic moment (μB/atom) = 0.0000
# - volume (Å³ per atom) = 19.2
# - N(E_F) (states/eV per cell) = 6.071
data_Ti3TlNi
_chemical_formula_sum 'Ti3 Tl1 Ni1'
_cell_length_a 4.580
_cell_length_b 4.580
_cell_length_c 4.580
_cell_angle_alpha 90.00
_cell_angle_beta 90.00
_cell_angle_gamma 90.00
_symmetry_space_group_name_H-M 'P m -3 m'
_symmetry_Int_Tables_number 221
_symmetry_space_group_name_Hall '-P 4 2 3'
loop_
_atom_site_label
_atom_site_fract_x
_atom_site_fract_y
_atom_site_fract_z
Ti1 0.000 0.000 0.500
Tl1 0.500 0.500 0.500
Ni1 0.000 0.000 0.000

=====

Ranked by calculated energy, most stable first: B, A.